This record from OQMD via LeMat-Bulk describes a relaxed structure of Hf2ThBe3. The functional is PBE.

Cell and atoms, written as CIF:
```
data_Hf2ThBe3
_cell_length_a 4.2546
_cell_length_b 4.2546
_cell_length_c 6.9657
_cell_angle_alpha 90.00
_cell_angle_beta 90.00
_cell_angle_gamma 120.00
_space_group_name_H-M_alt 'P -3 m 1'
_space_group_IT_number 164
_space_group_name_Hall '-P 3 2"'
loop_
_atom_site_label
_atom_site_fract_x
_atom_site_fract_y
_atom_site_fract_z
Hf1 0.3333 0.6667 0.3558
Th1 0.0000 0.0000 0.0000
Be1 0.0000 0.0000 0.5000
Be2 0.3333 0.6667 0.7417
```

Output
E   -6.256 eV/atom